Below is crystalline Ba2TlTeO6 at its relaxed geometry, with properties calculated at the PBE-GGA level.

extended XYZ file:
```
10
Lattice="6.1271 0.0000 0.0000 3.0635 5.3062 0.0000 3.0635 1.7687 5.0027" Properties=species:S:1:pos:R:3 pbc="T T T"
Ba 9.1906 5.3062 3.7521
Ba 3.0635 1.7687 1.2507
Tl 6.1271 3.5375 2.5014
Te 0.0000 0.0000 0.0000
O 6.1271 5.4559 3.8579
O 4.4657 4.4967 1.1448
O 4.4657 2.5783 3.8579
O 7.7885 4.4967 1.1448
O 6.1271 1.6191 1.1448
O 7.7885 2.5783 3.8579
```

**Raw formation energy**: -1.768 eV/atom
**Spin magnetization**: 0.00 μB/cell
**Crystal system**: cubic

Below is crystalline ZrAlIr at its relaxed geometry, with properties calculated at the PBE-GGA level.

extended XYZ file:
```
6
Lattice="-1.0113 4.6310 -2.1237 2.6916 -3.3523 -2.9148 -3.8428 -3.3976 0.8178" Properties=species:S:1:pos:R:3 pbc="T T T"
Zr -3.2746 -2.2093 -0.1720
Zr 1.1121 0.0905 -4.0486
Al -1.0812 -1.0594 -2.1103
Al 1.3458 -1.6762 -1.4574
Ir -0.5756 -3.3749 -1.0485
Ir -2.4270 0.6167 -0.6529
```

**DFT formation energy**: -856.7 meV per atom
**Spin magnetization**: 0.00 μB/cell
**Crystal system**: orthorhombic

Below is crystalline TbSc2PaSb4 at its relaxed geometry, with properties calculated at the PBE-GGA level.

extended XYZ file:
```
8
Lattice="4.2848 0.0000 0.0000 0.0000 7.4284 0.1345 0.0000 -2.5843 6.8934" Properties=species:S:1:pos:R:3 pbc="T T T"
Tb 2.1424 3.7142 0.0673
Sc 2.1424 -1.2921 3.4467
Sc 0.0000 2.4221 3.5140
Pa 0.0000 0.0000 0.0000
Sb 2.1424 1.2091 1.8702
Sb 2.1424 3.6350 5.1577
Sb 0.0000 -0.0893 5.0979
Sb 0.0000 4.9334 1.9300
```

**Raw formation energy**: -0.863 eV/atom
**Spin magnetization**: 0.80 μB/cell
**Crystal system**: monoclinic

Below is crystalline CeSm3Hg5 at its relaxed geometry, with properties calculated at the PBE-GGA level.

extended XYZ file:
```
18
Lattice="-5.2993 -2.4823 -2.7600 4.7028 -1.1532 -7.9923 -0.1219 -6.8298 6.3766" Properties=species:S:1:pos:R:3 pbc="T T T"
Ce 0.0000 0.0000 0.0000
Ce -2.6496 -1.2412 -1.3800
Sm -2.2887 -4.7996 -2.6644
Sm 0.6512 -7.3312 -6.0322
Sm -1.0024 -2.5905 -7.1209
Sm 1.5703 -5.6657 -1.7112
Sm -1.3696 -3.1341 1.6566
Sm 0.4059 -1.0450 -3.6314
Hg 3.0945 -3.0454 -3.2026
Hg -1.1633 -6.1788 0.2070
Hg 1.4864 -4.9376 1.5870
Hg 0.4449 -4.2865 -4.5826
Hg -0.7831 -7.4234 -3.1954
Hg 0.6913 -5.0864 -8.1280
Hg -2.5481 -2.2115 -4.4941
Hg 0.0647 -3.0419 -1.1802
Hg -1.4096 -5.3788 3.7524
Hg 1.9516 -1.4240 -6.2581
```

**DFT formation energy**: -384.1 meV per atom
**Spin magnetization**: 2.49 μB/cell
**Crystal system**: hexagonal

Below is crystalline ScSi4Ag at its relaxed geometry, with properties calculated at the PBE-GGA level.

extended XYZ file:
```
6
Lattice="-3.0911 -3.1888 2.5503 -5.0410 0.8913 0.1466 -3.2152 -3.0492 -2.5676" Properties=species:S:1:pos:R:3 pbc="T T T"
Sc 0.0000 0.0000 0.0000
Si -6.7677 -1.5675 0.1213
Si -5.7999 -3.5927 1.3144
Si -5.8615 -3.5233 -1.2258
Si -4.2656 -2.0099 0.0486
Ag -8.5105 -4.0100 0.0969
```

**Raw formation energy**: -0.008 eV/atom
**Spin magnetization**: 0.00 μB/cell
**Crystal system**: cubic

Below is crystalline InSiPt at its relaxed geometry, with properties calculated at the PBE-GGA level.

extended XYZ file:
```
3
Lattice="-1.2936 -3.0572 -1.1471 1.6148 0.1656 3.1146 -4.8543 1.1323 2.4566" Properties=species:S:1:pos:R:3 pbc="T T T"
In -0.0413 0.0096 0.0209
Pt -2.1870 -1.5484 1.2162
Si -2.3049 -0.2205 3.1870
```

**Raw formation energy**: -0.261 eV/atom
**Spin magnetization**: 0.00 μB/cell
**Crystal system**: trigonal

Below is crystalline TiReBrN2 at its relaxed geometry, with properties calculated at the PBE-GGA level.

extended XYZ file:
```
5
Lattice="3.8380 0.0000 0.0000 0.0000 5.4534 0.0000 0.0000 0.0000 3.8380" Properties=species:S:1:pos:R:3 pbc="T T T"
Re 0.0000 0.0000 0.0000
N 0.0000 0.0000 1.9190
N 1.9190 0.0000 0.0000
Br 1.9190 2.7267 1.9190
Ti 0.0000 2.7267 0.0000
```

**Raw formation energy**: 0.285 eV/atom
**Spin magnetization**: 0.00 μB/cell
**Crystal system**: tetragonal

Below is crystalline NpSeI at its relaxed geometry, with properties calculated at the PBE-GGA level.

extended XYZ file:
```
6
Lattice="4.2915 0.0000 0.0000 0.0000 5.6612 0.0000 0.0000 0.0000 9.8517" Properties=species:S:1:pos:R:3 pbc="T T T"
Np 0.0000 2.8306 8.7016
Np 2.1458 0.0000 1.1501
Se 2.1458 2.8306 0.7781
Se 0.0000 0.0000 9.0736
I 2.1458 2.8306 6.4614
I 0.0000 0.0000 3.3903
```

**Raw formation energy**: -1.040 eV/atom
**Spin magnetization**: 8.00 μB/cell
**E above lowest polymorph**: 0.000 eV/atom
**Crystal system**: orthorhombic

Below is crystalline Y4HgSb at its relaxed geometry, with properties calculated at the PBE-GGA level.

extended XYZ file:
```
24
Lattice="4.1211 0.0000 0.0000 0.0000 8.4440 0.0000 0.0000 0.0000 19.6998" Properties=species:S:1:pos:R:3 pbc="T T T"
Y 3.0908 7.2186 12.9776
Y 1.0303 1.2254 6.7222
Y 1.0303 5.4474 3.1277
Y 3.0908 2.9966 16.5721
Y 3.0908 7.3143 8.5661
Y 1.0303 1.1297 11.1337
Y 1.0303 5.3517 18.4161
Y 3.0908 3.0923 1.2838
Y 3.0908 8.2966 18.2898
Y 1.0303 0.1474 1.4101
Y 1.0303 4.3694 8.4399
Y 3.0908 4.0746 11.2600
Y 3.0908 8.2109 4.2612
Y 1.0303 0.2331 15.4386
Y 1.0303 4.4551 14.1111
Y 3.0908 3.9889 5.5887
Hg 3.0908 2.0382 8.8527
Hg 1.0303 6.4057 10.8472
Hg 1.0303 2.1838 18.7026
Hg 3.0908 6.2602 0.9972
Sb 3.0908 6.1489 15.9851
Sb 1.0303 2.2951 3.7147
Sb 1.0303 6.5171 6.1352
Sb 3.0908 1.9269 13.5646
```

**Raw formation energy**: -0.562 eV/atom
**Spin magnetization**: 4.76 μB/cell
**E above lowest polymorph**: 0.000 eV/atom
**Crystal system**: orthorhombic

Below is crystalline SrPmIr2O8 at its relaxed geometry, with properties calculated at the PBE-GGA level.

extended XYZ file:
```
12
Lattice="5.9594 0.0000 0.0000 -2.9797 5.1610 0.0000 0.0000 0.0000 7.3557" Properties=species:S:1:pos:R:3 pbc="T T T"
Sr 0.0000 0.0000 0.0000
Pm 0.0000 0.0000 3.6779
Ir 2.9797 1.7203 1.4779
Ir 0.0000 3.4407 5.8778
O 0.0000 3.4407 0.3331
O 1.4468 0.8360 2.0629
O 4.5120 0.8349 2.0629
O 2.9797 1.7203 7.0226
O -1.5323 4.3260 5.2928
O 1.5329 4.3249 5.2928
O -0.0006 1.6710 5.2928
O 2.9803 3.4900 2.0629
```

**Raw formation energy**: -1.324 eV/atom
**Spin magnetization**: 1.00 μB/cell
**Crystal system**: trigonal